No. 1
8
Lattice="2.492 1.439 8.048 -2.492 1.439 8.048 0.000 -2.878 8.048" Properties=species:S:1:pos:R:3 comment="KCd4Ag2Pd, relaxed, DFT GGA-PBE" delta_e_f_ev_per_atom=-0.02 pbc="T T T"
K 0.000 0.000 0.000
Cd 0.000 0.000 3.337
Cd 0.000 0.000 9.343
Cd 0.000 0.000 14.801
Cd 0.000 0.000 20.806
Ag 0.000 0.000 6.191
Ag 0.000 0.000 17.952
Pd 0.000 0.000 12.072

No. 2
5
Lattice="5.249 0.000 0.000 0.000 5.249 0.000 0.000 0.000 5.338" Properties=species:S:1:pos:R:3 comment="KCd2AgPd, relaxed, DFT GGA-PBE" delta_e_f_ev_per_atom=-0.07 pbc="T T T"
K 0.000 0.000 0.000
Cd 0.000 2.624 2.669
Cd 2.624 0.000 2.669
Ag 2.624 2.624 0.000
Pd 2.624 2.624 2.669

No. 3
18
Lattice="-3.747 4.884 6.411 3.747 -4.884 6.411 3.747 4.884 -6.411" Properties=species:S:1:pos:R:3 comment="KCd6AgPd, relaxed, DFT GGA-PBE" delta_e_f_ev_per_atom=-0.02 pbc="T T T"
K 0.000 2.442 2.438
K 3.747 2.442 3.974
Cd 2.280 -0.169 1.560
Cd 5.214 -0.169 1.560
Cd 3.747 -2.442 5.316
Cd 3.747 2.442 0.282
Cd 2.280 4.715 -1.560
Cd 1.467 -0.169 4.851
Cd 2.280 5.053 1.560
Cd 1.467 0.169 7.972
Cd 0.000 2.442 6.129
Cd 0.000 7.326 1.095
Cd -1.467 5.053 4.851
Cd 1.467 5.053 4.851
Ag 1.874 2.442 -3.206
Ag 1.874 -2.442 3.206
Pd 0.000 0.000 0.000
Pd 0.000 4.884 0.000

No. 4
20
Lattice="7.756 0.000 0.000 0.000 10.374 0.000 0.000 0.000 7.397" Properties=species:S:1:pos:R:3 comment="K2Cd6AgPt, relaxed, DFT GGA-PBE" delta_e_f_ev_per_atom=-0.12 pbc="T T T"
K 1.939 0.276 1.733
K 1.939 4.911 1.733
K 5.817 5.463 5.664
K 5.817 10.098 5.664
Cd 0.165 2.594 6.687
Cd 0.372 7.781 4.060
Cd 1.939 5.192 5.361
Cd 1.939 10.369 5.361
Cd 3.506 7.781 4.060
Cd 3.713 2.594 6.687
Cd 4.043 7.781 0.709
Cd 4.250 2.594 3.337
Cd 5.817 0.005 2.036
Cd 5.817 5.182 2.036
Cd 7.384 2.594 3.337
Cd 7.591 7.781 0.709
Ag 1.939 7.781 6.375
Ag 5.817 2.594 1.021
Pt 1.939 2.594 4.679
Pt 5.817 7.781 2.718

No. 5
5
Lattice="5.260 0.000 0.000 0.000 5.260 0.000 0.000 0.000 5.338" Properties=species:S:1:pos:R:3 comment="KCd2AgPt, relaxed, DFT GGA-PBE" delta_e_f_ev_per_atom=-0.10 pbc="T T T"
K 0.000 0.000 0.000
Cd 0.000 2.630 2.669
Cd 2.630 0.000 2.669
Ag 2.630 2.630 0.000
Pt 2.630 2.630 2.669

No. 6
5
Lattice="-2.466 2.759 6.738 2.466 -2.759 6.738 2.466 2.759 -6.738" Properties=species:S:1:pos:R:3 comment="KRbCd2Ag, relaxed, DFT GGA-PBE" relative_energy_ev_per_atom=0.000 delta_e_f_ev_per_atom=0.02 pbc="T T T"
K 0.000 0.000 0.000
Rb 0.000 2.759 3.435
Cd 2.466 0.000 2.307
Cd 0.000 0.000 6.810
Ag 2.466 0.000 5.097

No. 7
4
Lattice="0.000 4.310 4.310 4.310 0.000 4.310 4.310 4.310 0.000" Properties=species:S:1:pos:R:3 comment="KRbCdAg, relaxed, DFT GGA-PBE" relative_energy_ev_per_atom=0.099 delta_e_f_ev_per_atom=0.07 pbc="T T T"
K 0.000 0.000 0.000
Rb 4.310 4.310 4.310
Cd 2.155 2.155 2.155
Ag 6.465 6.465 6.465

No. 8
5
Lattice="5.571 0.000 0.000 0.000 5.571 0.000 0.000 0.000 6.311" Properties=species:S:1:pos:R:3 comment="KRbCd2Ag, relaxed, DFT GGA-PBE" relative_energy_ev_per_atom=0.042 delta_e_f_ev_per_atom=0.06 pbc="T T T"
K 0.000 0.000 0.000
Rb 2.785 2.785 0.000
Cd 0.000 2.785 3.156
Cd 2.785 0.000 3.156
Ag 2.785 2.785 3.156

Copy entry 3 word for word.
18
Lattice="-3.747 4.884 6.411 3.747 -4.884 6.411 3.747 4.884 -6.411" Properties=species:S:1:pos:R:3 comment="KCd6AgPd, relaxed, DFT GGA-PBE" delta_e_f_ev_per_atom=-0.02 pbc="T T T"
K 0.000 2.442 2.438
K 3.747 2.442 3.974
Cd 2.280 -0.169 1.560
Cd 5.214 -0.169 1.560
Cd 3.747 -2.442 5.316
Cd 3.747 2.442 0.282
Cd 2.280 4.715 -1.560
Cd 1.467 -0.169 4.851
Cd 2.280 5.053 1.560
Cd 1.467 0.169 7.972
Cd 0.000 2.442 6.129
Cd 0.000 7.326 1.095
Cd -1.467 5.053 4.851
Cd 1.467 5.053 4.851
Ag 1.874 2.442 -3.206
Ag 1.874 -2.442 3.206
Pd 0.000 0.000 0.000
Pd 0.000 4.884 0.000

- What is the formula in the seventh record?
  KRbCdAg